1.
Crystalline Ac4Ag5Ru2 at its relaxed geometry, computed with PBE.

Summary:
The formation energy comes out at -16.8 kJ/mol of atoms. The total moment is 0.00 μB per cell.

```
Ac4Ag5Ru2
1.0
4.316 0.000 0.000
0.000 7.691 -0.327
0.000 -0.297 8.939
Ac Ag Ru
4 5 2
direct
0.500 0.765 0.596 Ac
0.500 0.209 0.845 Ac
0.500 0.235 0.404 Ac
0.500 0.791 0.155 Ac
0.000 0.558 0.342 Ag
0.000 0.160 0.121 Ag
0.000 0.500 0.000 Ag
0.000 0.840 0.879 Ag
0.000 0.442 0.658 Ag
0.000 0.050 0.636 Ru
0.000 0.950 0.364 Ru
```

***

2.
Crystalline VCuAgS2 at its relaxed geometry, computed with PBE.

Summary:
The total moment is 3.13 μB per cell. The formation energy without anion corrections comes out at 0.91 eV/atom.

```
VCuAgS2
1.0
-0.752 4.707 0.673
-2.283 -0.923 3.902
4.116 0.303 2.479
S Cu Ag V
2 1 1 1
direct
0.000 0.000 0.500 S
0.500 0.000 0.000 S
0.000 0.500 0.000 Cu
0.000 0.000 0.000 Ag
0.500 0.500 0.500 V
```

***

3.
Crystalline Cs2LiHgI3 at its relaxed geometry, computed with PBE.

Summary:
The total moment is 0.00 μB per cell. The formation energy without anion corrections comes out at -1.17 eV/atom.

```
Cs2LiHgI3
1.0
-1.535 -4.574 2.773
5.480 -2.061 -0.368
0.243 7.699 7.251
Cs Li Hg I
2 1 1 3
direct
0.649 0.649 0.297 Cs
0.351 0.351 0.703 Cs
0.000 0.000 0.000 Li
0.500 0.000 0.000 Hg
0.000 0.500 0.000 I
0.153 0.153 0.305 I
0.847 0.847 0.695 I
```

***

4.
Crystalline Ce2GaOs at its relaxed geometry, computed with PBE.

Summary:
The formation energy comes out at 17.6 kJ/mol of atoms. The total moment is 1.14 μB per cell.

```
Ce2GaOs
1.0
3.969 0.000 0.000
1.985 3.437 0.000
1.985 1.146 9.362
Os Ga Ce
1 1 2
direct
0.500 0.500 0.500 Os
0.000 0.000 0.000 Ga
0.112 0.112 0.663 Ce
0.888 0.888 0.337 Ce
```

***

5.
Crystalline LaEr3Tc at its relaxed geometry, computed with PBE.

Summary:
The formation energy comes out at -7.3 kJ/mol of atoms. The total moment is 0.00 μB per cell.

```
LaEr3Tc
1.0
-0.087 -2.631 2.733
8.558 -0.789 -0.487
-0.863 6.316 6.054
La Er Tc
2 6 2
direct
0.750 0.332 0.487 La
0.250 0.668 0.513 La
0.750 0.526 0.160 Er
0.250 0.157 0.107 Er
0.750 0.922 0.313 Er
0.250 0.474 0.840 Er
0.250 0.078 0.687 Er
0.750 0.843 0.893 Er
0.250 0.763 0.099 Tc
0.750 0.237 0.901 Tc
```

***

6.
Crystalline CaAg2Au5 at its relaxed geometry, computed with PBE.

Summary:
The formation energy comes out at -12.4 kJ/mol of atoms. The total moment is 0.00 μB per cell.

```
CaAg2Au5
1.0
-3.740 -0.177 1.381
0.305 -2.874 6.224
-0.668 5.047 4.601
Ca Ag Au
1 2 5
direct
0.000 0.000 0.000 Ca
0.730 0.770 0.770 Ag
0.270 0.230 0.230 Ag
0.000 0.500 0.500 Au
0.639 0.553 0.170 Au
0.361 0.447 0.830 Au
0.361 0.830 0.447 Au
0.639 0.170 0.553 Au
```

***

7.
Crystalline AcTb5Ho4 at its relaxed geometry, computed with PBE.

Summary:
The formation energy comes out at 24.4 kJ/mol of atoms. The total moment is 0.00 μB per cell.

```
AcTb5Ho4
1.0
3.531 -0.004 -0.712
-0.316 10.902 -1.671
0.014 -0.490 9.068
Ac Tb Ho
1 5 4
direct
0.500 0.000 0.000 Ac
0.166 0.521 0.337 Tb
0.165 0.921 0.332 Tb
0.835 0.079 0.668 Tb
0.500 0.500 0.000 Tb
0.834 0.479 0.663 Tb
0.674 0.228 0.355 Ho
0.020 0.266 0.042 Ho
0.326 0.772 0.645 Ho
0.980 0.734 0.958 Ho
```

***

8.
Crystalline LiZnBi2 at its relaxed geometry, computed with PBE.

Summary:
The formation energy comes out at -6.7 kJ/mol of atoms. The total moment is 0.00 μB per cell.

```
LiZnBi2
1.0
-1.002 -1.348 3.230
-1.285 -3.398 0.235
7.418 -4.588 2.438
Zn Bi Li
1 2 1
direct
0.000 0.000 0.000 Zn
0.254 0.254 0.237 Bi
0.746 0.746 0.763 Bi
0.500 0.500 0.500 Li
```

***

no.,mass density (Mg/m³)
1,9.244
2,4.448
3,4.444
4,7.023
5,8.723
6,12.307
7,8.065
8,8.053